Record 1
First-principles (PBE-GGA) data for a relaxed LaTc2Pb crystal, as listed in the Alexandria database.

The space group is I-42d (No. 122) and the conventional cell measures 4.492, 4.492 and 18.633 Å, with angles of 90.00, 90.00 and 90.00 degrees. The asymmetric unit holds La at (0.000, 0.000, 0.000), Tc at (0.170, 0.250, 0.125) and Pb at (0.000, 0.000, 0.500).

Its energy of formation from the pure elements is 0.78 eV per atom.

Record 2
First-principles (PBE-GGA) data for a relaxed BeCu2 crystal, as listed in the Alexandria database.

The space group is P4_2/mnm (No. 136) and the conventional cell measures 5.635, 5.635 and 2.420 Å, with angles of 90.00, 90.00 and 90.00 degrees. The asymmetric unit holds Be at (0.000, 0.000, 0.000) and Cu at (0.233, 0.233, 0.500).

Its energy of formation from the pure elements is 0.38 eV per atom.

Record 3
First-principles (PBE-GGA) data for a relaxed SiSn2BiPd crystal, as listed in the Alexandria database.

The space group is P4/mmm (No. 123) and the conventional cell measures 5.103, 5.103 and 5.526 Å, with angles of 90.00, 90.00 and 90.00 degrees. The asymmetric unit holds Si at (0.000, 0.000, 0.000), Sn at (0.000, 0.500, 0.500), Bi at (0.500, 0.500, 0.000) and Pd at (0.500, 0.500, 0.500).

The calculation puts the raw formation energy at 456 meV per atom.

Record 4
First-principles (PBE-GGA) data for a relaxed TmCdNi crystal, as listed in the Alexandria database.

The space group is Pmma (No. 51) and the conventional cell measures 12.585, 3.802 and 7.429 Å, with angles of 90.00, 90.00 and 90.00 degrees. The asymmetric unit holds Tm at (0.046, 0.000, 0.223), Tm at (0.250, 0.000, 0.841), Cd at (0.117, 0.500, 0.567), Cd at (0.250, 0.500, 0.190), Ni at (0.090, 0.500, 0.940) and Ni at (0.250, 0.000, 0.441).

Its energy of formation from the pure elements is -0.38 eV per atom.

no.,spin magnetization (Bohr magnetons per cell)
1,0.000
2,0.000
3,0.000
4,0.000